PBE CaMg2Ge2Pd, optimized geometry; N(E_F) = 2.2 states/eV per cell; calculated total energy = -3.397 eV per atom; ρ = 3.8 g/cm³
1.0
5.241 0.000 0.000
0.000 5.241 0.000
-2.620 -2.620 5.462
Mg Ca Ge Pd
2 1 2 1
Direct
0.750 0.250 0.500
0.250 0.750 0.500
0.500 0.500 0.000
0.218 0.218 0.437
0.782 0.782 0.563
0.000 0.000 0.000

=====

PBE Tb8TlRh2, optimized geometry; N(E_F) = 13.3 states/eV per cell; calculated total energy = -5.265 eV per atom; ρ = 9.0 g/cm³
1.0
5.492 -0.063 -0.095
-0.996 7.935 -0.219
-0.996 -3.259 7.238
Tb Tl Rh
8 1 2
Direct
0.305 0.608 0.608
0.695 0.392 0.392
0.929 0.924 0.669
0.500 0.246 0.754
0.500 0.754 0.246
0.071 0.076 0.331
0.929 0.669 0.924
0.071 0.331 0.076
0.500 0.000 0.000
0.000 0.698 0.302
0.000 0.302 0.698

=====

PBE YCoW2, optimized geometry; N(E_F) = 3.3 states/eV per cell; calculated total energy = -9.194 eV per atom; ρ = 12.5 g/cm³
1.0
9.637 -0.014 -0.008
9.208 2.843 -0.008
9.208 1.383 2.484
W Co Y
2 1 1
Direct
0.012 0.012 0.012
0.488 0.488 0.488
0.750 0.750 0.750
0.250 0.250 0.250

=====

PBE BaCdGe2Pd5, optimized geometry; N(E_F) = 2.7 states/eV per cell; calculated total energy = -4.591 eV per atom; ρ = 8.0 g/cm³
1.0
4.844 0.000 0.000
0.000 4.844 0.000
0.000 0.000 8.224
Cd Ge Pd Ba
1 2 5 1
Direct
0.000 0.000 0.000
0.500 0.500 0.204
0.500 0.500 0.796
0.000 0.500 0.170
0.500 0.000 0.170
0.000 0.500 0.830
0.500 0.500 0.500
0.500 0.000 0.830
0.000 0.000 0.500

=====

PBE RbIrRu, optimized geometry; N(E_F) = 12.0 states/eV per cell; calculated total energy = -5.797 eV per atom; ρ = 8.7 g/cm³
1.0
12.667 0.000 0.000
0.000 5.123 0.000
0.000 0.000 4.472
Ir Rb Ru
4 4 4
Direct
0.526 0.250 0.000
0.026 0.250 0.500
0.474 0.750 0.000
0.974 0.750 0.500
0.230 0.750 0.503
0.770 0.250 0.497
0.730 0.750 0.997
0.270 0.250 0.003
0.500 0.000 0.500
0.000 0.000 0.000
0.500 0.500 0.500
0.000 0.500 0.000

=====

PBE HfRu2Au, optimized geometry; N(E_F) = 6.3 states/eV per cell; calculated total energy = -7.653 eV per atom; ρ = 13.1 g/cm³
1.0
3.963 0.000 0.000
0.000 3.963 0.000
1.982 1.982 9.330
Au Ru Hf
2 4 2
Direct
0.000 0.000 0.000
0.750 0.250 0.500
0.375 0.430 0.750
0.570 0.125 0.250
0.875 0.820 0.750
0.180 0.625 0.250
0.500 0.500 0.000
0.250 0.750 0.500